A relaxed structure of TcIr5. Source: the Alexandria database, functional GGA-PBE.

Calculated values
DFT formation energy = 0.672 eV/atom
symmetry = P6/mmm
ΔE to the lowest computed polymorph = 75.7 kJ/mol of atoms
calculated total energy = -50.64 eV/cell

a b c (Å): 5.094 5.094 4.433
angles (deg): 90.00 90.00 120.00
Element x y z (fractional)
Tc (0.000, 0.000, 0.000)
Ir (0.000, 0.500, 0.500)
Ir (0.333, 0.667, 0.000)
Ir (0.500, 0.000, 0.500)
Ir (0.500, 0.500, 0.500)
Ir (0.667, 0.333, 0.000)



A relaxed structure of Tc5Ir. Source: the Alexandria database, functional GGA-PBE.

Calculated values
DFT formation energy = -0.114 eV/atom
symmetry = Cm
ΔE to the lowest computed polymorph = 0.0 kJ/mol of atoms
calculated total energy = -61.37 eV/cell

a b c (Å): 5.183 5.183 6.500
angles (deg): 103.32 103.32 30.88
Element x y z (fractional)
Tc (0.000, 0.000, 0.000)
Tc (0.056, 0.056, 0.612)
Tc (0.389, 0.389, 0.279)
Tc (0.669, 0.669, 0.331)
Tc (0.724, 0.724, 0.945)
Ir (0.334, 0.334, 0.668)



A relaxed structure of TcIr. Source: the Alexandria database, functional GGA-PBE.

Calculated values
DFT formation energy = -0.137 eV/atom
symmetry = P-3m1
ΔE to the lowest computed polymorph = 14.1 kJ/mol of atoms
calculated total energy = -39.00 eV/cell

a b c (Å): 2.754 2.754 8.822
angles (deg): 90.00 90.00 120.00
Element x y z (fractional)
Tc (0.333, 0.667, 0.377)
Tc (0.667, 0.333, 0.623)
Ir (0.333, 0.667, 0.869)
Ir (0.667, 0.333, 0.131)



A relaxed structure of Tc7Ir6. Source: the Alexandria database, functional GGA-PBE.

Calculated values
DFT formation energy = 0.174 eV/atom
symmetry = R-3m
calculated total energy = -123.47 eV/cell

a b c (Å): 9.462 9.462 9.462
angles (deg): 30.65 30.65 30.65
Element x y z (fractional)
Tc (0.000, 0.000, 0.000)
Tc (0.090, 0.090, 0.583)
Tc (0.090, 0.583, 0.090)
Tc (0.417, 0.910, 0.910)
Tc (0.583, 0.090, 0.090)
Tc (0.910, 0.417, 0.910)
Tc (0.910, 0.910, 0.417)
Ir (0.162, 0.162, 0.162)
Ir (0.351, 0.351, 0.351)
Ir (0.454, 0.454, 0.454)
Ir (0.546, 0.546, 0.546)
Ir (0.649, 0.649, 0.649)
Ir (0.838, 0.838, 0.838)



A relaxed structure of TcIr2. Source: the Alexandria database, functional GGA-PBE.

Calculated values
DFT formation energy = 0.914 eV/atom
symmetry = P-3m1
ΔE to the lowest computed polymorph = 109.8 kJ/mol of atoms
calculated total energy = -25.35 eV/cell

a b c (Å): 3.513 3.513 4.757
angles (deg): 90.00 90.00 120.00
Element x y z (fractional)
Tc (0.000, 0.000, 0.000)
Ir (0.333, 0.667, 0.310)
Ir (0.667, 0.333, 0.690)



A relaxed structure of TcIr. Source: the Alexandria database, functional GGA-PBE.

Calculated values
DFT formation energy = 0.140 eV/atom
symmetry = P2_13
ΔE to the lowest computed polymorph = 40.8 kJ/mol of atoms
calculated total energy = -75.79 eV/cell

a b c (Å): 4.937 4.937 4.937
angles (deg): 90.00 90.00 90.00
Element x y z (fractional)
Tc (0.101, 0.101, 0.101)
Tc (0.399, 0.899, 0.601)
Tc (0.601, 0.399, 0.899)
Tc (0.899, 0.601, 0.399)
Ir (0.100, 0.600, 0.900)
Ir (0.400, 0.400, 0.400)
Ir (0.600, 0.900, 0.100)
Ir (0.900, 0.100, 0.600)



A relaxed structure of TcIr. Source: the Alexandria database, functional GGA-PBE.

Calculated values
DFT formation energy = -0.283 eV/atom
symmetry = Pmma
ΔE to the lowest computed polymorph = 0.0 kJ/mol of atoms
calculated total energy = -39.59 eV/cell

a b c (Å): 4.375 2.737 4.811
angles (deg): 90.00 90.00 90.00
Element x y z (fractional)
Tc (0.250, 0.000, 0.163)
Tc (0.750, 0.000, 0.837)
Ir (0.250, 0.500, 0.667)
Ir (0.750, 0.500, 0.333)



A relaxed structure of Tc3Ir. Source: the Alexandria database, functional GGA-PBE.

Calculated values
DFT formation energy = -0.217 eV/atom
symmetry = P6_3/mmc
ΔE to the lowest computed polymorph = 0.0 kJ/mol of atoms
calculated total energy = -81.65 eV/cell

a b c (Å): 5.534 5.534 4.367
angles (deg): 90.00 90.00 120.00
Element x y z (fractional)
Tc (0.162, 0.323, 0.250)
Tc (0.162, 0.838, 0.250)
Tc (0.323, 0.162, 0.750)
Tc (0.677, 0.838, 0.250)
Tc (0.838, 0.162, 0.750)
Tc (0.838, 0.677, 0.750)
Ir (0.333, 0.667, 0.750)
Ir (0.667, 0.333, 0.250)



A relaxed structure of TcIr. Source: the Alexandria database, functional GGA-PBE.

Calculated values
DFT formation energy = -0.061 eV/atom
symmetry = R-3m
ΔE to the lowest computed polymorph = 21.4 kJ/mol of atoms
calculated total energy = -38.70 eV/cell

a b c (Å): 9.121 9.121 9.121
angles (deg): 17.23 17.23 17.23
Element x y z (fractional)
Tc (0.125, 0.125, 0.125)
Tc (0.875, 0.875, 0.875)
Ir (0.376, 0.376, 0.376)
Ir (0.624, 0.624, 0.624)



A relaxed structure of Tc3Ir4. Source: the Alexandria database, functional GGA-PBE.

Calculated values
DFT formation energy = 0.237 eV/atom
symmetry = P6/mmm
ΔE to the lowest computed polymorph = 0.0 kJ/mol of atoms
calculated total energy = -64.88 eV/cell

a b c (Å): 4.980 4.980 4.916
angles (deg): 90.00 90.00 120.00
Element x y z (fractional)
Tc (0.000, 0.500, 0.000)
Tc (0.500, 0.000, 0.000)
Tc (0.500, 0.500, 0.000)
Ir (0.000, 0.000, 0.257)
Ir (0.000, 0.000, 0.743)
Ir (0.333, 0.667, 0.500)
Ir (0.667, 0.333, 0.500)



A relaxed structure of TcIr. Source: the Alexandria database, functional GGA-PBE.

Calculated values
DFT formation energy = -0.228 eV/atom
symmetry = Cm
ΔE to the lowest computed polymorph = 5.3 kJ/mol of atoms
calculated total energy = -59.05 eV/cell

a b c (Å): 5.176 5.176 6.502
angles (deg): 103.24 103.24 30.77
Element x y z (fractional)
Tc (0.000, 0.000, 0.000)
Tc (0.057, 0.057, 0.612)
Tc (0.387, 0.387, 0.279)
Ir (0.338, 0.338, 0.669)
Ir (0.663, 0.663, 0.332)
Ir (0.722, 0.722, 0.947)



A relaxed structure of Tc5Ir. Source: the Alexandria database, functional GGA-PBE.

Calculated values
DFT formation energy = -0.031 eV/atom
symmetry = Cmmm
ΔE to the lowest computed polymorph = 8.0 kJ/mol of atoms
calculated total energy = -60.88 eV/cell

a b c (Å): 6.155 6.155 3.863
angles (deg): 90.00 90.00 143.34
Element x y z (fractional)
Tc (0.000, 0.000, 0.000)
Tc (0.165, 0.835, 0.500)
Tc (0.334, 0.666, 0.000)
Tc (0.666, 0.334, 0.000)
Tc (0.835, 0.165, 0.500)
Ir (0.500, 0.500, 0.500)